(1)
CuSbPt2: relaxed, GGA-PBE.

SG: Cm (8)
E_form (uncorrected) in eV per atom: -0.174

Cell: 4.9059 4.9059 4.1938 Å, 72.31 72.31 44.26°
Fractional positions:
1 Pt 0.9995 0.9995 0.0538
2 Pt 0.7504 0.7504 0.7083
3 Sb 0.4896 0.4896 0.5378
4 Cu 0.2605 0.2605 0.2001

=====

(2)
Cu2SbPt8: relaxed, GGA-PBE.

SG: C2/m (12)
E_form (uncorrected) in eV per atom: -0.120

Cell: 4.0441 6.1840 7.3717 Å, 104.09 105.92 90.00°
Fractional positions:
1 Pt 0.9511 0.2734 0.9021
2 Pt 0.3175 0.0810 0.6351
3 Pt 0.4046 0.5433 0.8091
4 Pt 0.1461 0.2044 0.2922
5 Pt 0.5954 0.4567 0.1909
6 Pt 0.0489 0.7266 0.0979
7 Pt 0.8539 0.7956 0.7078
8 Pt 0.6825 0.9190 0.3649
9 Cu 0.2267 0.6377 0.4534
10 Cu 0.7733 0.3623 0.5466
11 Sb 0.5000 0.0000 0.0000

=====

(3)
CuSb4Pt: relaxed, GGA-PBE.

SG: F-43m (216)
Energy above the lowest structure with this stoichiometry in eV/atom: 1.0122
E_form (uncorrected) in eV per atom: 0.820

Cell: 6.0346 6.0346 6.0346 Å, 60.00 60.00 60.00°
Fractional positions:
1 Sb 0.3755 0.3755 0.3755
2 Sb 0.3755 0.3755 0.8734
3 Sb 0.3755 0.8734 0.3755
4 Sb 0.8734 0.3755 0.3755
5 Cu 0.7500 0.7500 0.7500
6 Pt 0.0000 0.0000 0.0000

=====

(4)
Cu2SbPt2: relaxed, GGA-PBE.

SG: P4/mbm (127)
Energy above the lowest structure with this stoichiometry in eV/atom: 0.0542
E_form (uncorrected) in eV per atom: -0.042

Cell: 7.3349 7.3349 2.9704 Å, 90.00 90.00 90.00°
Fractional positions:
1 Pt 0.3312 0.1688 0.5000
2 Pt 0.8312 0.3312 0.5000
3 Pt 0.6688 0.8312 0.5000
4 Pt 0.1688 0.6688 0.5000
5 Cu 0.8753 0.6247 0.0000
6 Cu 0.1247 0.3753 0.0000
7 Cu 0.3753 0.8753 0.0000
8 Cu 0.6247 0.1247 0.0000
9 Sb 0.0000 0.0000 0.0000
10 Sb 0.5000 0.5000 0.0000

=====

(5)
Cu4SbPt: relaxed, GGA-PBE.

SG: F-43m (216)
E_form (uncorrected) in eV per atom: -0.010

Cell: 4.9494 4.9494 4.9494 Å, 60.00 60.00 60.00°
Fractional positions:
1 Cu 0.3755 0.8736 0.3755
2 Cu 0.8736 0.3755 0.3755
3 Cu 0.3755 0.3755 0.8736
4 Cu 0.3755 0.3755 0.3755
5 Pt 0.7500 0.7500 0.7500
6 Sb 0.0000 0.0000 0.0000

=====

(6)
Cu5SbPt6: relaxed, GGA-PBE.

SG: C2/m (12)
E_form (uncorrected) in eV per atom: -0.217

Cell: 4.0278 7.3102 7.3102 Å, 111.28 105.95 105.95°
Fractional positions:
1 Pt 0.7500 0.9175 0.5816
2 Pt 0.7568 0.2576 0.2576
3 Pt 0.2432 0.7424 0.7424
4 Pt 0.2500 0.4184 0.0825
5 Pt 0.7500 0.5816 0.9175
6 Pt 0.2500 0.0825 0.4184
7 Cu 0.5000 0.5000 0.5000
8 Cu 0.5000 0.1762 0.8238
9 Cu 0.0000 0.6676 0.3324
10 Cu 0.5000 0.8238 0.1762
11 Cu 0.0000 0.3324 0.6676
12 Sb 0.0000 0.0000 0.0000

=====

(7)
CuSnSb2Pt: relaxed, GGA-PBE.

SG: P4/mmm (123)
E_form (uncorrected) in eV per atom: 1.089

Cell: 5.5824 4.6268 5.5824 Å, 90.00 90.00 90.00°
Fractional positions:
1 Sb 0.5000 0.0000 0.0000
2 Sb 0.0000 0.0000 0.5000
3 Sn 0.0000 0.0000 0.0000
4 Pt 0.5000 0.5000 0.5000
5 Cu 0.0000 0.5000 0.0000

=====

(8)
Sr2CuSb4Pt3: relaxed, GGA-PBE.

SG: P-4m2 (115)
E_form (uncorrected) in eV per atom: -0.712

Cell: 4.6919 4.6919 10.8106 Å, 90.00 90.00 90.00°
Fractional positions:
1 Pt 0.0000 0.5000 0.1276
2 Pt 0.0000 0.0000 0.5000
3 Pt 0.5000 0.0000 0.8724
4 Sb 0.5000 0.5000 0.0000
5 Sb 0.0000 0.5000 0.3736
6 Sb 0.0000 0.0000 0.0000
7 Sb 0.5000 0.0000 0.6264
8 Sr 0.5000 0.0000 0.2616
9 Sr 0.0000 0.5000 0.7384
10 Cu 0.5000 0.5000 0.5000

=====

(9)
CuSbTe2Pt: relaxed, GGA-PBE.

SG: P4/mmm (123)
Energy above the lowest structure with this stoichiometry in eV/atom: 0.0000
E_form (uncorrected) in eV per atom: 0.663

Cell: 5.4600 5.4600 5.0717 Å, 90.00 90.00 90.00°
Fractional positions:
1 Te 0.5000 0.0000 0.0000
2 Te 0.0000 0.5000 0.0000
3 Sb 0.0000 0.0000 0.5000
4 Pt 0.0000 0.0000 0.0000
5 Cu 0.5000 0.5000 0.5000

=====

(10)
UCuSbPt: relaxed, GGA-PBE.

SG: F-43m (216)
E_form (uncorrected) in eV per atom: -0.273

Cell: 4.8008 4.8008 4.8008 Å, 60.00 60.00 60.00°
Fractional positions:
1 Pt 0.7500 0.7500 0.7500
2 Sb 0.0000 0.0000 0.0000
3 U 0.5000 0.5000 0.5000
4 Cu 0.2500 0.2500 0.2500

=====

(11)
Sc3CuPt: relaxed, GGA-PBE.

SG: Pm-3m (221)
Energy above the lowest structure with this stoichiometry in eV/atom: 0.0000

Cell: 5.0644 5.0644 5.0644 Å, 90.00 90.00 90.00°
Fractional positions:
1 Sc 0.5000 0.0000 0.0000
2 Sc 0.0000 0.0000 0.5000
3 Sc 0.0000 0.5000 0.0000
4 Pt 0.0000 0.0000 0.0000
5 Cu 0.5000 0.5000 0.5000

=====

(12)
Sc2Cu3Pt: relaxed, GGA-PBE.

SG: C2/c (15)
Total energy in eV/atom: -5.626

Cell: 4.9780 4.9780 8.6692 Å, 99.75 99.75 113.01°
Fractional positions:
1 Cu 0.7813 0.5314 0.5621
2 Cu 0.5314 0.7813 0.0621
3 Cu 0.3765 0.6235 0.7500
4 Cu 0.2187 0.4686 0.4379
5 Cu 0.6235 0.3765 0.2500
6 Cu 0.4686 0.2187 0.9379
7 Pt 0.1253 0.8747 0.2500
8 Pt 0.8747 0.1253 0.7500
9 Sc 0.9457 0.6953 0.8906
10 Sc 0.3047 0.0543 0.6094
11 Sc 0.0543 0.3047 0.1094
12 Sc 0.6953 0.9457 0.3906

=====

(13)
ScCu3Pt6: relaxed, GGA-PBE.

SG: P2_1/m (11)
Total energy in eV/atom: -5.928

Cell: 3.9843 8.4401 8.8949 Å, 93.70 90.00 90.00°
Fractional positions:
1 Sc 0.2500 0.9361 0.6127
2 Sc 0.7500 0.0639 0.3873
3 Cu 0.2500 0.3465 0.8108
4 Cu 0.2500 0.7456 0.9938
5 Cu 0.7500 0.4473 0.6049
6 Cu 0.7500 0.2544 0.0062
7 Cu 0.2500 0.5527 0.3951
8 Cu 0.7500 0.6535 0.1892
9 Pt 0.2500 0.4562 0.0994
10 Pt 0.7500 0.3708 0.3049
11 Pt 0.2500 0.2635 0.5118
12 Pt 0.2500 0.1577 0.2063
13 Pt 0.7500 0.8423 0.7937
14 Pt 0.7500 0.7365 0.4882
15 Pt 0.7500 0.9459 0.0942
16 Pt 0.7500 0.1546 0.7055
17 Pt 0.7500 0.5438 0.9006
18 Pt 0.2500 0.6292 0.6951
19 Pt 0.2500 0.0541 0.9058
20 Pt 0.2500 0.8454 0.2945

=====

(14)
Sc2CuPt: relaxed, GGA-PBE.

SG: Fm-3m (225)
Total energy in eV/atom: -6.512

Cell: 4.6373 4.6373 4.6372 Å, 60.00 60.01 60.01°
Fractional positions:
1 Pt 0.7501 0.7500 0.7500
2 Sc 0.4999 0.5000 0.5000
3 Sc 0.9999 0.0000 0.0000
4 Cu 0.2497 0.2501 0.2501

=====

(15)
Sc6Cu5Pt: relaxed, GGA-PBE.

SG: Cmmm (65)
Total energy in eV/atom: -5.836

Cell: 4.6029 6.5405 7.3134 Å, 90.00 71.66 90.00°
Fractional positions:
1 Sc 0.5000 0.2499 0.0000
2 Sc 0.1666 0.2510 0.6668
3 Sc 0.1666 0.7490 0.6668
4 Sc 0.5000 0.7501 0.0000
5 Sc 0.8334 0.2510 0.3332
6 Sc 0.8334 0.7490 0.3332
7 Cu 0.0000 0.5000 0.0000
8 Cu 0.3359 0.5000 0.3282
9 Cu 0.6691 0.0000 0.6618
10 Cu 0.6641 0.5000 0.6718
11 Cu 0.3309 0.0000 0.3382
12 Pt 0.0000 0.0000 0.0000

=====

(16)
Sc2CuPt: relaxed, GGA-PBE.

SG: Cm (8)
Total energy in eV/atom: -6.340

Cell: 5.1844 5.1844 4.5977 Å, 76.60 76.60 37.10°
Fractional positions:
1 Pt 0.2452 0.2452 0.2146
2 Sc 0.7614 0.7614 0.6936
3 Sc 0.9835 0.9835 0.0600
4 Cu 0.5099 0.5099 0.5319

=====

(17)
ScCu2Pt: relaxed, GGA-PBE.

SG: I-42d (122)
Total energy in eV/atom: -5.422

Cell: 3.7552 3.7552 9.7311 Å, 78.88 78.88 90.00°
Fractional positions:
1 Sc 0.2500 0.7500 0.5000
2 Sc 0.5000 0.5000 0.0000
3 Cu 0.6584 0.1250 0.2500
4 Cu 0.3750 0.3416 0.7500
5 Cu 0.8750 0.9084 0.7500
6 Cu 0.0916 0.6250 0.2500
7 Pt 0.0000 0.0000 0.0000
8 Pt 0.7500 0.2500 0.5000

=====

(18)
Sc2Cu3Pt3: relaxed, GGA-PBE.

SG: Pmmm (47)
Total energy in eV/atom: -6.079

Cell: 4.0486 4.0029 7.5462 Å, 90.00 90.00 90.00°
Fractional positions:
1 Sc 0.0000 0.0000 0.7477
2 Sc 0.0000 0.0000 0.2523
3 Cu 0.5000 0.5000 0.2463
4 Cu 0.5000 0.0000 0.0000
5 Cu 0.5000 0.5000 0.7537
6 Pt 0.5000 0.0000 0.5000
7 Pt 0.0000 0.5000 0.5000
8 Pt 0.0000 0.5000 0.0000

=====

(19)
Sc2Cu2Pt: relaxed, GGA-PBE.

SG: I4/mmm (139)
Energy above the lowest structure with this stoichiometry in eV/atom: 0.1482

Cell: 3.3494 3.3494 8.2248 Å, 78.25 78.25 90.00°
Fractional positions:
1 Cu 0.2500 0.7500 0.5000
2 Cu 0.7500 0.2500 0.5000
3 Sc 0.3983 0.3983 0.2034
4 Sc 0.6017 0.6017 0.7966
5 Pt 0.0000 0.0000 0.0000

=====

(20)
ScCu2Pt2: relaxed, GGA-PBE.

SG: I4/mmm (139)
Energy above the lowest structure with this stoichiometry in eV/atom: 0.0000

Cell: 3.5200 3.5200 7.0091 Å, 75.46 75.46 90.00°
Fractional positions:
1 Pt 0.3971 0.3971 0.2058
2 Pt 0.6029 0.6029 0.7942
3 Cu 0.2500 0.7500 0.5000
4 Cu 0.7500 0.2500 0.5000
5 Sc 0.0000 0.0000 0.0000